Entry 1:
VASP calculation (PBE-GGA) on a geometry-optimized Tb4Pr5Er2 structure.

Results
Energy relative to the lowest polymorph listed for this composition, meV/atom: 76

```
data_Tb4Pr5Er2
_chemical_formula_sum 'Tb8 Pr10 Er4'
_cell_length_a 3.539
_cell_length_b 9.240
_cell_length_c 23.673
_cell_angle_alpha 90.00
_cell_angle_beta 90.00
_cell_angle_gamma 90.00
_symmetry_space_group_name_H-M 'I m m m'
_symmetry_Int_Tables_number 71
_symmetry_space_group_name_Hall '-I 2 2'
loop_
_atom_site_label
_atom_site_fract_x
_atom_site_fract_y
_atom_site_fract_z
_atom_site_occupancy
Tb1 0.000 0.000 0.097 1
Tb2 0.000 0.311 0.500 1
Pr1 0.000 0.202 0.352 1
Pr2 0.000 0.500 0.000 1
Er1 0.000 0.000 0.230 1
```

Entry 2:
VASP calculation (PBE-GGA) on a geometry-optimized CsPd2Cl5 structure.

Results
DFT total energy, eV/atom: -3.437

```
data_CsPd2Cl5
_chemical_formula_sum 'Cs4 Pd8 Cl20'
_cell_length_a 16.563
_cell_length_b 10.854
_cell_length_c 5.599
_cell_angle_alpha 90.00
_cell_angle_beta 90.00
_cell_angle_gamma 90.00
_symmetry_space_group_name_H-M 'P n m a'
_symmetry_Int_Tables_number 62
_symmetry_space_group_name_Hall '-P 2ac 2n'
loop_
_atom_site_label
_atom_site_fract_x
_atom_site_fract_y
_atom_site_fract_z
_atom_site_occupancy
Cs1 0.243 0.250 0.149 1
Pd1 0.053 0.585 0.292 1
Cl1 0.024 0.750 0.046 1
Cl2 0.078 0.081 0.548 1
Cl3 0.183 0.572 0.150 1
```

Entry 3:
VASP calculation (PBE-GGA) on a geometry-optimized HgGeH2 structure.

Results
Energy relative to the lowest polymorph listed for this composition, meV/atom: 0

```
data_HgGeH2
_chemical_formula_sum 'Hg4 Ge4 H8'
_cell_length_a 5.565
_cell_length_b 5.565
_cell_length_c 9.039
_cell_angle_alpha 90.00
_cell_angle_beta 90.00
_cell_angle_gamma 90.00
_symmetry_space_group_name_H-M 'I -4 2 d'
_symmetry_Int_Tables_number 122
_symmetry_space_group_name_Hall 'I -4 2bw'
loop_
_atom_site_label
_atom_site_fract_x
_atom_site_fract_y
_atom_site_fract_z
_atom_site_occupancy
Hg1 0.000 0.000 0.000 1
Ge1 0.000 0.000 0.500 1
H1 0.002 0.750 0.625 1
```

Entry 4:
VASP calculation (PBE-GGA) on a geometry-optimized Sr2AlBIr structure.

Results
DFT total energy, eV/atom: -4.347

```
data_Sr2AlBIr
_chemical_formula_sum 'Sr2 Al1 B1 Ir1'
_cell_length_a 5.899
_cell_length_b 5.899
_cell_length_c 4.052
_cell_angle_alpha 90.00
_cell_angle_beta 90.00
_cell_angle_gamma 90.00
_symmetry_space_group_name_H-M 'P 4/m m m'
_symmetry_Int_Tables_number 123
_symmetry_space_group_name_Hall '-P 4 2'
loop_
_atom_site_label
_atom_site_fract_x
_atom_site_fract_y
_atom_site_fract_z
_atom_site_occupancy
Sr1 0.000 0.500 0.000 1
Al1 0.000 0.000 0.500 1
B1 0.500 0.500 0.500 1
Ir1 0.500 0.500 0.000 1
```

Entry 5:
VASP calculation (PBE-GGA) on a geometry-optimized Ac6Ru2Br2N structure.

Results
DFT total energy, eV/atom: -5.758

```
data_Ac6Ru2Br2N
_chemical_formula_sum 'Ac12 Ru4 Br4 N2'
_cell_length_a 7.243
_cell_length_b 12.509
_cell_length_c 8.719
_cell_angle_alpha 90.00
_cell_angle_beta 108.53
_cell_angle_gamma 90.00
_symmetry_space_group_name_H-M 'C 1 2/m 1'
_symmetry_Int_Tables_number 12
_symmetry_space_group_name_Hall '-C 2y'
loop_
_atom_site_label
_atom_site_fract_x
_atom_site_fract_y
_atom_site_fract_z
_atom_site_occupancy
Ac1 0.230 0.159 0.191 1
Ac2 0.240 0.000 0.819 1
Ru1 0.000 0.329 0.000 1
Br1 0.000 0.173 0.500 1
N1 0.000 0.000 0.000 1
```

Entry 6:
VASP calculation (PBE-GGA) on a geometry-optimized La2EuAu structure.

Results
Energy relative to the lowest polymorph listed for this composition, meV/atom: 0

```
data_La2EuAu
_chemical_formula_sum 'La2 Eu1 Au1'
_cell_length_a 3.840
_cell_length_b 3.840
_cell_length_c 9.096
_cell_angle_alpha 90.00
_cell_angle_beta 90.00
_cell_angle_gamma 90.00
_symmetry_space_group_name_H-M 'P 4/m m m'
_symmetry_Int_Tables_number 123
_symmetry_space_group_name_Hall '-P 4 2'
loop_
_atom_site_label
_atom_site_fract_x
_atom_site_fract_y
_atom_site_fract_z
_atom_site_occupancy
La1 0.000 0.000 0.195 1
Eu1 0.500 0.500 0.500 1
Au1 0.500 0.500 0.000 1
```

Magnetic moment values (in μB per cell) by entry order: 0.0, 0.0, 0.0, 0.6, 0.0, 8.8.
Mass density values (in g cm⁻³) by entry order: 7.2, 3.5, 6.5, 4.8, 7.7, 7.8.